# 1
First-principles (PBE) data for a geometry-optimized LaRu2Pt structure, as listed in Alexandria via LeMat-Bulk.

a b c (Å): 4.6820 4.6820 5.1530
angles (deg): 107.73 107.73 54.85
Closest atoms and distances in Å follow each position.
Fractional positions:
La 0.0000 0.0000 0.0000  2 Ru 2.83
Ru 0.2026 0.2026 0.5683  2 Ru 2.48, 3 Pt 2.61-2.68
Ru 0.7974 0.7974 0.4317  2 Ru 2.48, 3 Pt 2.61-2.68
Pt 0.5000 0.5000 0.5000  6 Ru 2.61-2.68

Values from the calculation:
DOS(E_F): 0.81 states/eV per atom
M_tot: 0.0 μB/cell
Energy of formation: -0.16 eV/atom
Energy above the lowest structure with this stoichiometry: 0 meV/atom
Uncorrected energy: -7.544 eV per atom


# 2
First-principles (PBE) data for a geometry-optimized BeTcPHCl structure, as listed in Alexandria via LeMat-Bulk.

a b c (Å): 8.2855 8.2855 8.2855
angles (deg): 159.04 158.19 30.43
Closest atoms and distances in Å follow each position.
Fractional positions:
Be 0.0000 0.0000 0.0000  2 Cl 2.00
Tc 0.6236 0.1236 0.5000  2 H 1.85
P 0.1903 0.6903 0.5000  4 Tc 2.42, 2 H 2.66
H 0.5561 0.5561 0.0000  2 Tc 1.85
Cl 0.9176 0.4176 0.5000  2 Be 2.00

Values from the calculation:
DOS(E_F): 0.46 states/eV per atom
M_tot: 0.0 μB/cell
Energy above the lowest structure with this stoichiometry: 38 meV/atom
Uncorrected energy: -5.307 eV per atom


# 3
First-principles (PBE) data for a geometry-optimized Tb3Nd6Tm structure, as listed in Alexandria via LeMat-Bulk.

a b c (Å): 11.1277 11.1277 6.4092
angles (deg): 90.00 90.00 120.91
Closest atoms and distances in Å follow each position.
Fractional positions:
Tb 0.1141 0.8859 0.5000  7 Nd 3.42-3.80, 2 Tb 3.70, 1 Tm 3.72
Tb 0.2163 0.4455 0.1119  6 Nd 3.31-3.59, 1 Tm 3.32, 1 Tb 3.70
Tb 0.4455 0.2163 0.6119  6 Nd 3.31-3.59, 1 Tm 3.32, 1 Tb 3.70
Tb 0.5545 0.7837 0.1119  6 Nd 3.31-3.59, 1 Tm 3.32, 1 Tb 3.70
Tb 0.7837 0.5545 0.6119  6 Nd 3.31-3.59, 1 Tm 3.32, 1 Tb 3.70
Tb 0.8859 0.1141 0.0000  7 Nd 3.42-3.80, 2 Tb 3.70, 1 Tm 3.72
Nd 0.0192 0.4407 0.7222  3 Nd 3.16-3.53, 2 Tb 3.31-3.52, 2 Tm 3.40-3.50
Nd 0.1269 0.2130 0.5303  4 Tb 3.50-3.80, 5 Nd 3.53-3.78
Nd 0.2130 0.1269 0.0303  4 Tb 3.50-3.80, 5 Nd 3.53-3.78
Nd 0.2207 0.7793 0.9256  4 Nd 3.16-3.50, 1 Tm 3.37, 1 Tb 3.42
Nd 0.4407 0.0192 0.2222  3 Nd 3.16-3.53, 2 Tb 3.31-3.52, 2 Tm 3.40-3.50
Nd 0.4644 0.5356 0.6952  1 Tm 3.40, 4 Nd 3.49-3.78, 4 Tb 3.49-3.59
Nd 0.5356 0.4644 0.1952  1 Tm 3.40, 4 Nd 3.49-3.78, 4 Tb 3.49-3.59
Nd 0.5593 0.9808 0.7222  3 Nd 3.16-3.53, 2 Tb 3.31-3.52, 2 Tm 3.40-3.50
Nd 0.7793 0.2207 0.4256  4 Nd 3.16-3.50, 1 Tm 3.37, 1 Tb 3.42
Nd 0.7870 0.8731 0.5303  4 Tb 3.50-3.80, 5 Nd 3.53-3.78
Nd 0.8731 0.7870 0.0303  4 Tb 3.50-3.80, 5 Nd 3.53-3.78
Nd 0.9808 0.5593 0.2222  3 Nd 3.16-3.53, 2 Tb 3.31-3.52, 2 Tm 3.40-3.50
Tm 0.3058 0.6942 0.4673  2 Tb 3.32, 6 Nd 3.37-3.50
Tm 0.6942 0.3058 0.9673  2 Tb 3.32, 6 Nd 3.37-3.50

Values from the calculation:
DOS(E_F): 1.36 states/eV per atom
M_tot: 0.0 μB/cell
Energy of formation: 0.14 eV/atom
Energy above the lowest structure with this stoichiometry: 0 meV/atom
Uncorrected energy: -4.558 eV per atom


Question: The highest energy above the lowest structure with this stoichiometry belongs to which entry?
Answer: BeTcPHCl


Question: What is the energy above the lowest structure with this stoichiometry in the second record?
Answer: 38 meV/atom